Record 1
DFT (GGA-PBE) results for crystalline TlFeOs2 at its relaxed geometry.

Calculated total energy, eV/atom: -7.4062
DFT formation energy, eV/atom: 0.916
Polymorph energy (0 for the lowest one), meV/atom: 359.3

Cell lengths 6.315, 6.315, 6.315 Å; angles 90.00, 90.00, 90.00 degrees
Space group Fm-3m (No. 225)
Inequivalent atoms, fractional coordinates:
Tl 0.000 0.000 0.000
Fe 0.000 0.000 0.500
Os 0.250 0.250 0.250

Record 2
DFT (GGA-PBE) results for crystalline TlFeOs2 at its relaxed geometry.

Calculated total energy, eV/atom: -7.4160
DFT formation energy, eV/atom: 0.906
Polymorph energy (0 for the lowest one), meV/atom: 349.6

Cell lengths 2.902, 4.641, 4.703 Å; angles 90.00, 90.00, 90.00 degrees
Space group Pmmm (No. 47)
Inequivalent atoms, fractional coordinates:
Tl 0.000 0.000 0.000
Fe 0.500 0.000 0.500
Os 0.000 0.500 0.500
Os 0.500 0.500 0.000

Record 3
DFT (GGA-PBE) results for crystalline TlFeOs2 at its relaxed geometry.

Calculated total energy, eV/atom: -7.4415
DFT formation energy, eV/atom: 0.881
Polymorph energy (0 for the lowest one), meV/atom: 324.1

Cell lengths 3.970, 3.970, 7.929 Å; angles 90.00, 90.00, 90.00 degrees
Space group I4/mmm (No. 139)
Inequivalent atoms, fractional coordinates:
Tl 0.000 0.000 0.000
Fe 0.000 0.000 0.500
Os 0.000 0.500 0.250

Record 4
DFT (GGA-PBE) results for crystalline TlFe3Os at its relaxed geometry.

Calculated total energy, eV/atom: -6.5059
DFT formation energy, eV/atom: 1.291
Polymorph energy (0 for the lowest one), meV/atom: 0.0

Cell lengths 4.667, 4.667, 4.667 Å; angles 90.00, 90.00, 90.00 degrees
Space group Pm-3m (No. 221)
Inequivalent atoms, fractional coordinates:
Tl 0.000 0.000 0.000
Fe 0.000 0.500 0.500
Os 0.500 0.500 0.500

Record 5
DFT (GGA-PBE) results for crystalline Tm2FeOs at its relaxed geometry.

Calculated total energy, eV/atom: -7.2124
DFT formation energy, eV/atom: -0.054

Cell lengths 3.358, 3.358, 6.879 Å; angles 90.00, 90.00, 90.00 degrees
Space group P4/mmm (No. 123)
Inequivalent atoms, fractional coordinates:
Tm 0.000 0.000 0.240
Fe 0.500 0.500 0.500
Os 0.500 0.500 0.000

Record 6
DFT (GGA-PBE) results for crystalline TmFeOs at its relaxed geometry.

Calculated total energy, eV/atom: -7.8073
DFT formation energy, eV/atom: 0.247
Polymorph energy (0 for the lowest one), meV/atom: 544.5

Cell lengths 3.218, 3.866, 4.723 Å; angles 90.00, 90.00, 90.00 degrees
Space group Pmmm (No. 47)
Inequivalent atoms, fractional coordinates:
Tm 0.000 0.000 0.000
Fe 0.000 0.500 0.500
Os 0.500 0.000 0.500

Record 7
DFT (GGA-PBE) results for crystalline TmFeOs at its relaxed geometry.

Calculated total energy, eV/atom: -8.3518
DFT formation energy, eV/atom: -0.297
Polymorph energy (0 for the lowest one), meV/atom: 0.0

Cell lengths 5.156, 5.230, 7.466 Å; angles 90.00, 90.00, 90.00 degrees
Space group Imma (No. 74)
Inequivalent atoms, fractional coordinates:
Tm 0.000 0.250 0.126
Fe 0.250 0.250 0.750
Os 0.000 0.000 0.500

Record 8
DFT (GGA-PBE) results for crystalline Tm3Fe8Os at its relaxed geometry.

Calculated total energy, eV/atom: -7.7543
DFT formation energy, eV/atom: -0.059

Cell lengths 4.9855, 4.9855, 24.4788 Å; angles 90.00, 90.00, 120.00 degrees
Space group R3m (No. 160, hexagonal axes)
Inequivalent atoms, fractional coordinates:
Tm 0.0000 0.0000 0.0000
Tm 0.0000 0.0000 0.1280
Tm 0.0000 0.0000 0.6199
Fe 0.0000 0.0000 0.3118
Fe 0.0000 0.0000 0.8126
Fe 0.0010 0.5005 0.5598
Fe 0.0036 0.5018 0.0644
Os 0.0000 0.0000 0.4983